No. 1
This record from Alexandria describes a relaxed CaNbAl2O crystal. The functional is PBE.

Results
* E: -26.3 eV per cell
* energy relative to the elements, uncorrected: -348 meV per atom

Cell: 5.434 5.434 3.897 Å, 90.00 90.00 90.00°
Atoms (fractional coordinates):
Ca1 0.000 0.000 0.000
Nb1 0.500 0.500 0.500
Al1 0.000 0.500 0.500
Al2 0.500 0.000 0.500
O1 0.500 0.500 0.000

***

No. 2
This record from Alexandria describes a relaxed ZnCo2Hg crystal. The functional is PBE.

Results
* E: -57.6 eV per cell
* E_form: 0.3470 eV per atom

Cell: 6.079 6.079 6.079 Å, 90.00 90.00 90.00°
Atoms (fractional coordinates):
Zn1 0.000 0.000 0.000
Zn2 0.000 0.500 0.500
Zn3 0.500 0.000 0.500
Zn4 0.500 0.500 0.000
Co1 0.250 0.250 0.250
Co2 0.250 0.250 0.750
Co3 0.250 0.750 0.250
Co4 0.250 0.750 0.750
Co5 0.750 0.250 0.250
Co6 0.750 0.250 0.750
Co7 0.750 0.750 0.250
Co8 0.750 0.750 0.750
Hg1 0.000 0.000 0.500
Hg2 0.000 0.500 0.000
Hg3 0.500 0.000 0.000
Hg4 0.500 0.500 0.500

***

No. 3
This record from Alexandria describes a relaxed KLaCo2 crystal. The functional is PBE.

Results
* ΔE to the lowest computed polymorph: 0.631 eV per atom
* E: -67.3 eV per cell
* E_form: 0.8518 eV per atom

Cell: 7.160 7.160 7.160 Å, 90.00 90.00 90.00°
Atoms (fractional coordinates):
K1 0.000 0.000 0.000
K2 0.000 0.500 0.500
K3 0.500 0.000 0.500
K4 0.500 0.500 0.000
La1 0.000 0.000 0.500
La2 0.000 0.500 0.000
La3 0.500 0.000 0.000
La4 0.500 0.500 0.500
Co1 0.250 0.250 0.250
Co2 0.250 0.250 0.750
Co3 0.250 0.750 0.250
Co4 0.250 0.750 0.750
Co5 0.750 0.250 0.250
Co6 0.750 0.250 0.750
Co7 0.750 0.750 0.250
Co8 0.750 0.750 0.750

***

No. 4
This record from Alexandria describes a relaxed NaSn2HgTe4 crystal. The functional is PBE.

Results
* E: -24.8 eV per cell
* energy relative to the elements, uncorrected: -322 meV per atom

Cell: 7.626 4.377 7.829 Å, 90.00 109.38 90.00°
Atoms (fractional coordinates):
Na1 0.000 0.000 0.000
Sn1 0.000 0.500 0.500
Sn2 0.500 0.000 0.500
Hg1 0.500 0.500 0.000
Te1 0.251 0.500 0.257
Te2 0.252 0.000 0.747
Te3 0.748 0.000 0.253
Te4 0.749 0.500 0.743

***

No. 5
This record from Alexandria describes a relaxed CdHgTe3 crystal. The functional is PBE.

Results
* ΔE to the lowest computed polymorph: 0.000 eV per atom
* E: -8.2 eV per cell
* energy relative to the elements, uncorrected: 493 meV per atom

Cell: 5.665 5.665 5.665 Å, 90.00 90.00 90.00°
Atoms (fractional coordinates):
Cd1 0.000 0.000 0.000
Hg1 0.500 0.500 0.500
Te1 0.000 0.000 0.500
Te2 0.000 0.500 0.000
Te3 0.500 0.000 0.000

***

No. 6
This record from Alexandria describes a relaxed BaSn2Te2 crystal. The functional is PBE.

Results
* ΔE to the lowest computed polymorph: 0.000 eV per atom
* E: -38.5 eV per cell
* energy relative to the elements, uncorrected: -606 meV per atom

Cell: 6.126 6.126 9.812 Å, 90.00 90.00 90.00°
Atoms (fractional coordinates):
Ba1 0.000 0.000 0.000
Ba2 0.500 0.500 0.500
Sn1 0.000 0.000 0.345
Sn2 0.000 0.000 0.655
Sn3 0.500 0.500 0.155
Sn4 0.500 0.500 0.845
Te1 0.000 0.500 0.250
Te2 0.000 0.500 0.750
Te3 0.500 0.000 0.250
Te4 0.500 0.000 0.750

***

No. 7
This record from Alexandria describes a relaxed LaCrPb4 crystal. The functional is PBE.

Results
* E: -28.0 eV per cell
* E_form: 0.2361 eV per atom

Cell: 6.425 6.425 6.425 Å, 60.00 60.00 60.00°
Atoms (fractional coordinates):
La1 0.000 0.000 0.000
Cr1 0.250 0.250 0.250
Pb1 0.123 0.626 0.626
Pb2 0.626 0.123 0.626
Pb3 0.626 0.626 0.123
Pb4 0.626 0.626 0.626

***

No. 8
This record from Alexandria describes a relaxed ScCoNi3 crystal. The functional is PBE.

Results
* ΔE to the lowest computed polymorph: 0.000 eV per atom
* E: -58.4 eV per cell
* E_form: 0.3126 eV per atom

Cell: 6.440 6.440 4.360 Å, 90.00 90.00 120.36°
Atoms (fractional coordinates):
Sc1 0.107 0.893 0.750
Sc2 0.893 0.107 0.250
Co1 0.319 0.681 0.750
Co2 0.681 0.319 0.250
Ni1 0.105 0.544 0.250
Ni2 0.456 0.895 0.250
Ni3 0.500 0.500 0.000
Ni4 0.500 0.500 0.500
Ni5 0.544 0.105 0.750
Ni6 0.895 0.456 0.750

***

No. 9
This record from Alexandria describes a relaxed Cs2HoAg2Cl6 crystal. The functional is PBE.

Results
* E: -39.7 eV per cell
* energy relative to the elements, uncorrected: -1514 meV per atom

Cell: 7.741 7.741 8.878 Å, 117.90 117.90 59.75°
Atoms (fractional coordinates):
Cs1 0.210 0.210 0.182
Cs2 0.790 0.790 0.818
Ho1 0.000 0.000 0.500
Ag1 0.452 0.452 0.821
Ag2 0.548 0.548 0.179
Cl1 0.178 0.710 0.249
Cl2 0.221 0.221 0.583
Cl3 0.290 0.822 0.751
Cl4 0.710 0.178 0.249
Cl5 0.779 0.779 0.417
Cl6 0.822 0.290 0.751

***

No. 10
This record from Alexandria describes a relaxed BaCd3Au3 crystal. The functional is PBE.

Results
* ΔE to the lowest computed polymorph: 0.178 eV per atom
* E: -31.1 eV per cell
* E_form: -0.1508 eV per atom

Cell: 7.657 7.657 7.657 Å, 90.00 90.00 90.00°
Atoms (fractional coordinates):
Ba1 0.000 0.000 0.000
Ba2 0.500 0.500 0.500
Cd1 0.000 0.250 0.500
Cd2 0.000 0.750 0.500
Cd3 0.250 0.500 0.000
Cd4 0.500 0.000 0.250
Cd5 0.500 0.000 0.750
Cd6 0.750 0.500 0.000
Au1 0.000 0.500 0.250
Au2 0.000 0.500 0.750
Au3 0.250 0.000 0.500
Au4 0.500 0.250 0.000
Au5 0.500 0.750 0.000
Au6 0.750 0.000 0.500

***

No. 11
This record from Alexandria describes a relaxed Al3FeIr2 crystal. The functional is PBE.

Results
* E: -42.1 eV per cell
* E_form: -0.7756 eV per atom

Cell: 2.966 2.966 8.905 Å, 90.00 90.00 90.00°
Atoms (fractional coordinates):
Al1 0.000 0.000 0.000
Al2 0.000 0.000 0.349
Al3 0.000 0.000 0.651
Fe1 0.500 0.500 0.500
Ir1 0.500 0.500 0.171
Ir2 0.500 0.500 0.829

***

Repeat the second record exactly.
This record from Alexandria describes a relaxed ZnCo2Hg crystal. The functional is PBE.

Results
* E: -57.6 eV per cell
* E_form: 0.3470 eV per atom

Cell: 6.079 6.079 6.079 Å, 90.00 90.00 90.00°
Atoms (fractional coordinates):
Zn1 0.000 0.000 0.000
Zn2 0.000 0.500 0.500
Zn3 0.500 0.000 0.500
Zn4 0.500 0.500 0.000
Co1 0.250 0.250 0.250
Co2 0.250 0.250 0.750
Co3 0.250 0.750 0.250
Co4 0.250 0.750 0.750
Co5 0.750 0.250 0.250
Co6 0.750 0.250 0.750
Co7 0.750 0.750 0.250
Co8 0.750 0.750 0.750
Hg1 0.000 0.000 0.500
Hg2 0.000 0.500 0.000
Hg3 0.500 0.000 0.000
Hg4 0.500 0.500 0.500

***

Copy entry 10 word for word.
This record from Alexandria describes a relaxed BaCd3Au3 crystal. The functional is PBE.

Results
* ΔE to the lowest computed polymorph: 0.178 eV per atom
* E: -31.1 eV per cell
* E_form: -0.1508 eV per atom

Cell: 7.657 7.657 7.657 Å, 90.00 90.00 90.00°
Atoms (fractional coordinates):
Ba1 0.000 0.000 0.000
Ba2 0.500 0.500 0.500
Cd1 0.000 0.250 0.500
Cd2 0.000 0.750 0.500
Cd3 0.250 0.500 0.000
Cd4 0.500 0.000 0.250
Cd5 0.500 0.000 0.750
Cd6 0.750 0.500 0.000
Au1 0.000 0.500 0.250
Au2 0.000 0.500 0.750
Au3 0.250 0.000 0.500
Au4 0.500 0.250 0.000
Au5 0.500 0.750 0.000
Au6 0.750 0.000 0.500

***

Question: Among the records above, which one has the lowest E?
Answer: KLaCo2

***

Repeat the second record exactly.
This record from Alexandria describes a relaxed ZnCo2Hg crystal. The functional is PBE.

Results
* E: -57.6 eV per cell
* E_form: 0.3470 eV per atom

Cell: 6.079 6.079 6.079 Å, 90.00 90.00 90.00°
Atoms (fractional coordinates):
Zn1 0.000 0.000 0.000
Zn2 0.000 0.500 0.500
Zn3 0.500 0.000 0.500
Zn4 0.500 0.500 0.000
Co1 0.250 0.250 0.250
Co2 0.250 0.250 0.750
Co3 0.250 0.750 0.250
Co4 0.250 0.750 0.750
Co5 0.750 0.250 0.250
Co6 0.750 0.250 0.750
Co7 0.750 0.750 0.250
Co8 0.750 0.750 0.750
Hg1 0.000 0.000 0.500
Hg2 0.000 0.500 0.000
Hg3 0.500 0.000 0.000
Hg4 0.500 0.500 0.500